Density functional theory data (GGA-PBE) for a geometry-optimized PmYRhAu structure.

Cell lengths 5.0476, 5.0476, 5.0476 Å; angles 60.00, 60.00, 60.00 degrees
With the nearest neighbours (Å) after each atom.
Sites, in units of the cell vectors:
1 Y 0.7500 0.7500 0.7500  4 Rh 3.09, 4 Au 3.09
2 Rh 0.5000 0.5000 0.5000  4 Pm 3.09, 4 Y 3.09
3 Au 0.0000 0.0000 0.0000  4 Y 3.09, 4 Pm 3.09
4 Pm 0.2500 0.2500 0.2500  4 Rh 3.09, 4 Au 3.09

calculated volume	22.7	A^3/atom
DOS(E_F)	1.119	states/eV per atom
energy above the lowest structure with this stoichiometry	46	meV per atom
symmetry	F-43m (216)
crystal system	cubic

=====

Density functional theory data (GGA-PBE) for a geometry-optimized SiAs2IrBr structure.

Cell lengths 4.7356, 4.7356, 5.4226 Å; angles 90.00, 90.00, 90.00 degrees
With the nearest neighbours (Å) after each atom.
Sites, in units of the cell vectors:
1 As 0.0000 0.5000 0.0000  2 Ir 2.37
2 As 0.5000 0.0000 0.0000  2 Ir 2.37
3 Ir 0.0000 0.0000 0.0000  4 As 2.37
4 Si 0.5000 0.5000 0.5000  4 Br 3.35, 8 As 3.60
5 Br 0.0000 0.0000 0.5000  2 Ir 2.71

calculated volume	24.3	A^3/atom
E_form (uncorrected)	3.97	eV per formula unit
DOS(E_F)	0.918	states/eV per atom
energy above the lowest structure with this stoichiometry	0	meV per atom
symmetry	P4/mmm (123)
crystal system	tetragonal